No. 1
## Na4Y3ThSe8 (PBE)

Data for a relaxed Na4Y3ThSe8 crystal.

POSCAR file:
```
Na4Y3ThSe8
1.0
8.311 0.000 0.000
0.000 8.524 0.143
-4.155 -4.150 5.880
Se Th Y Na
8 1 3 4
direct
0.744 0.731 0.487 Se
0.256 0.269 0.513 Se
0.753 0.265 0.507 Se
0.247 0.735 0.988 Se
0.258 0.265 0.012 Se
0.753 0.265 0.012 Se
0.742 0.735 0.988 Se
0.247 0.735 0.493 Se
0.000 0.500 0.000 Th
0.000 0.500 0.500 Y
0.500 0.500 0.500 Y
0.500 0.500 0.000 Y
0.500 0.000 0.500 Na
0.000 0.000 0.500 Na
0.000 0.000 0.000 Na
0.500 0.000 0.000 Na
```

Properties
* total moment: 0.00 μB per formula unit
* formation energy (no corrections): -159.3 kJ/mol of atoms

***

No. 2
## NaYTh2Se4 (PBE)

Data for a relaxed NaYTh2Se4 crystal.

POSCAR file:
```
NaYTh2Se4
1.0
-0.867 0.078 3.948
-1.744 -7.341 -0.238
5.853 -3.626 1.357
Th Y Se Na
2 1 4 1
direct
0.500 0.000 0.500 Th
0.000 0.000 0.000 Th
0.500 0.500 0.000 Y
0.500 0.738 0.253 Se
0.000 0.735 0.753 Se
0.500 0.262 0.747 Se
0.000 0.265 0.247 Se
0.000 0.500 0.500 Na
```

Properties
* total moment: 0.00 μB per formula unit
* formation energy (no corrections): -151.0 kJ/mol of atoms

***

No. 3
## Na2YThSe4 (PBE)

Data for a relaxed Na2YThSe4 crystal.

POSCAR file:
```
Na2YThSe4
1.0
-3.080 -2.690 0.697
4.712 -5.459 -0.247
-0.493 2.399 7.086
Se Th Na Y
4 1 2 1
direct
0.500 0.252 0.241 Se
0.000 0.742 0.234 Se
0.500 0.748 0.759 Se
0.000 0.258 0.766 Se
0.000 0.000 0.000 Th
0.000 0.500 0.500 Na
0.500 0.000 0.500 Na
0.500 0.500 0.000 Y
```

Properties
* total moment: 0.00 μB per formula unit
* formation energy (no corrections): -153.2 kJ/mol of atoms

***

No. 4
## NaY2Th3Se6 (PBE)

Data for a relaxed NaY2Th3Se6 crystal.

POSCAR file:
```
NaY2Th3Se6
1.0
-2.055 -3.042 -1.704
6.223 -0.960 -5.793
3.016 -3.875 8.088
Th Se Y Na
3 6 2 1
direct
0.167 0.833 0.334 Th
0.833 0.167 0.666 Th
0.500 0.500 0.000 Th
0.996 0.756 0.993 Se
0.004 0.244 0.007 Se
0.662 0.090 0.324 Se
0.338 0.910 0.676 Se
0.669 0.574 0.338 Se
0.331 0.426 0.662 Se
0.832 0.665 0.664 Y
0.168 0.335 0.336 Y
0.500 0.000 0.000 Na
```

Properties
* total moment: 0.00 μB per formula unit
* formation energy (no corrections): -153.7 kJ/mol of atoms

***

No. 5
## Na3Y2ThSe6 (PBE)

Data for a relaxed Na3Y2ThSe6 crystal.

POSCAR file:
```
Na3Y2ThSe6
1.0
-0.689 1.870 3.633
-2.741 -7.420 3.300
9.461 -0.740 -0.189
Se Na Y Th
6 3 2 1
direct
0.671 0.574 0.341 Se
0.005 0.249 0.009 Se
0.995 0.751 0.991 Se
0.336 0.905 0.672 Se
0.329 0.426 0.659 Se
0.664 0.095 0.328 Se
0.167 0.831 0.335 Na
0.833 0.169 0.665 Na
0.500 0.500 0.000 Na
0.831 0.661 0.663 Y
0.169 0.339 0.337 Y
0.500 0.000 0.000 Th
```

Properties
* total moment: 0.00 μB per formula unit
* formation energy (no corrections): -157.2 kJ/mol of atoms

***

No. 6
## Na3TiSe3 (PBE)

Data for a relaxed Na3TiSe3 crystal.

POSCAR file:
```
Na3TiSe3
1.0
-6.650 -2.824 -2.104
5.866 -4.578 -1.118
-0.745 -1.249 7.245
Se Ti Na
6 2 6
direct
0.535 0.851 0.726 Se
0.876 0.876 0.204 Se
0.124 0.124 0.796 Se
0.465 0.149 0.274 Se
0.149 0.465 0.274 Se
0.851 0.535 0.726 Se
0.839 0.839 0.862 Ti
0.161 0.161 0.138 Ti
0.597 0.597 0.360 Na
0.403 0.403 0.640 Na
0.170 0.830 0.500 Na
0.830 0.170 0.500 Na
0.260 0.740 0.000 Na
0.740 0.260 0.000 Na
```

Properties
* offset from the most stable computed form: 15 meV/atom
* total moment: 0.00 μB per formula unit
* formation energy (no corrections): -105.3 kJ/mol of atoms

***

No. 7
## NaTiSe4 (PBE)

Data for a relaxed NaTiSe4 crystal.

POSCAR file:
```
NaTiSe4
1.0
7.422 0.000 0.000
0.000 13.080 0.005
0.000 3.755 12.588
Se Na Ti
32 8 8
direct
0.852 0.102 0.049 Se
0.518 0.324 0.000 Se
0.352 0.898 0.451 Se
0.306 0.603 0.758 Se
0.982 0.324 0.500 Se
0.368 0.880 0.729 Se
0.923 0.909 0.597 Se
0.194 0.603 0.258 Se
0.632 0.120 0.271 Se
0.806 0.397 0.742 Se
0.868 0.120 0.771 Se
0.421 0.248 0.752 Se
0.582 0.450 0.604 Se
0.648 0.102 0.549 Se
0.001 0.734 0.037 Se
0.579 0.752 0.248 Se
0.148 0.898 0.951 Se
0.482 0.676 0.000 Se
0.082 0.550 0.896 Se
0.921 0.752 0.748 Se
0.577 0.909 0.097 Se
0.999 0.266 0.963 Se
0.423 0.091 0.903 Se
0.501 0.266 0.463 Se
0.077 0.091 0.403 Se
0.694 0.397 0.242 Se
0.079 0.248 0.252 Se
0.132 0.880 0.229 Se
0.918 0.450 0.104 Se
0.499 0.734 0.537 Se
0.018 0.676 0.500 Se
0.418 0.550 0.396 Se
0.822 0.903 0.369 Na
0.164 0.462 0.619 Na
0.178 0.097 0.631 Na
0.836 0.538 0.381 Na
0.664 0.538 0.881 Na
0.678 0.903 0.869 Na
0.322 0.097 0.131 Na
0.336 0.462 0.119 Na
0.726 0.267 0.615 Ti
0.274 0.733 0.385 Ti
0.301 0.783 0.126 Ti
0.774 0.267 0.115 Ti
0.801 0.217 0.374 Ti
0.226 0.733 0.885 Ti
0.699 0.217 0.874 Ti
0.199 0.783 0.626 Ti
```

Properties
* offset from the most stable computed form: 0 meV/atom
* total moment: 0.00 μB per formula unit
* formation energy (no corrections): -83.6 kJ/mol of atoms

***

No. 8
## Na5TiSe5 (PBE)

Data for a relaxed Na5TiSe5 crystal.

POSCAR file:
```
Na5TiSe5
1.0
-2.604 -4.711 1.455
4.186 -0.863 -5.987
4.888 -0.716 6.431
Ti Se Na
1 5 5
direct
0.000 0.000 0.000 Ti
0.854 0.709 0.701 Se
0.500 0.000 0.000 Se
0.866 0.731 0.158 Se
0.146 0.291 0.299 Se
0.134 0.269 0.842 Se
0.681 0.362 0.858 Na
0.698 0.396 0.321 Na
0.000 0.000 0.500 Na
0.319 0.638 0.142 Na
0.302 0.604 0.679 Na
```

Properties
* total moment: 0.56 μB per formula unit
* formation energy (no corrections): -89.6 kJ/mol of atoms

***

No. 9
## Na2TiSe3 (PBE)

Data for a relaxed Na2TiSe3 crystal.

POSCAR file:
```
Na2TiSe3
1.0
-6.541 0.150 2.190
-0.544 -6.711 2.020
1.209 -0.944 6.861
Na Se Ti
4 6 2
direct
0.329 0.827 0.493 Na
0.671 0.173 0.507 Na
0.171 0.507 0.173 Na
0.829 0.493 0.827 Na
0.250 0.391 0.609 Se
0.990 0.109 0.187 Se
0.750 0.609 0.391 Se
0.010 0.891 0.813 Se
0.510 0.813 0.891 Se
0.490 0.187 0.109 Se
0.250 0.089 0.911 Ti
0.750 0.911 0.089 Ti
```

Properties
* total moment: 0.00 μB per formula unit
* formation energy (no corrections): -107.8 kJ/mol of atoms

***

No. 10
## Na2Ti3Se8 (PBE)

Data for a relaxed Na2Ti3Se8 crystal.

POSCAR file:
```
Na2Ti3Se8
1.0
-2.185 0.217 5.797
1.247 -7.106 0.736
6.970 4.938 0.144
Se Ti Na
8 3 2
direct
0.397 0.867 0.206 Se
0.603 0.133 0.794 Se
0.397 0.339 0.206 Se
0.903 0.598 0.196 Se
0.097 0.402 0.804 Se
0.902 0.103 0.205 Se
0.098 0.897 0.795 Se
0.603 0.661 0.794 Se
0.500 0.000 0.000 Ti
0.000 0.742 0.000 Ti
0.000 0.258 0.000 Ti
0.332 0.256 0.512 Na
0.668 0.744 0.488 Na
```

Properties
* total moment: 0.00 μB per formula unit
* formation energy (no corrections): -91.9 kJ/mol of atoms

***

No. 11
## NaTi2Se (PBE)

Data for a relaxed NaTi2Se crystal.

POSCAR file:
```
NaTi2Se
1.0
4.437 0.000 0.000
0.000 4.437 0.000
2.219 2.219 9.518
Na Se Ti
2 2 4
direct
0.500 0.500 0.000 Na
0.250 0.750 0.500 Na
0.000 0.000 0.000 Se
0.750 0.250 0.500 Se
0.852 0.125 0.250 Ti
0.898 0.625 0.250 Ti
0.375 0.148 0.750 Ti
0.875 0.102 0.750 Ti
```

Properties
* total moment: 0.00 μB per formula unit
* formation energy (no corrections): 15.6 kJ/mol of atoms

***

No. 12
## Na2Ti4Se (PBE)

Data for a relaxed Na2Ti4Se crystal.

POSCAR file:
```
Na2Ti4Se
1.0
-1.092 4.545 -0.634
-2.171 -1.086 -4.045
-8.372 0.656 1.567
Ti Se Na
4 1 2
direct
0.000 0.500 0.000 Ti
0.154 0.154 0.692 Ti
0.846 0.846 0.308 Ti
0.500 0.000 0.000 Ti
0.000 0.000 0.000 Se
0.644 0.644 0.712 Na
0.356 0.356 0.288 Na
```

Properties
* total moment: 3.24 μB per formula unit
* formation energy (no corrections): 65.1 kJ/mol of atoms

***

No. 13
## NaTiSe4 (PBE)

Data for a relaxed NaTiSe4 crystal.

POSCAR file:
```
NaTiSe4
1.0
6.436 1.455 -0.740
-1.513 6.706 -4.574
0.873 -1.867 8.042
Se Na Ti
8 2 2
direct
0.006 0.609 0.715 Se
0.477 0.233 0.981 Se
0.523 0.767 0.019 Se
0.020 0.949 0.214 Se
0.994 0.391 0.285 Se
0.980 0.051 0.786 Se
0.493 0.809 0.643 Se
0.507 0.191 0.357 Se
0.793 0.713 0.287 Na
0.207 0.287 0.713 Na
0.237 0.997 0.997 Ti
0.763 0.003 0.003 Ti
```

Properties
* offset from the most stable computed form: 95 meV/atom
* total moment: 0.00 μB per formula unit
* formation energy (no corrections): -74.5 kJ/mol of atoms

***

No. 14
## Na3TiSe (PBE)

Data for a relaxed Na3TiSe crystal.

POSCAR file:
```
Na3TiSe
1.0
5.532 0.000 0.000
0.000 5.532 0.000
0.000 0.000 5.532
Ti Se Na
1 1 3
direct
0.500 0.500 0.500 Ti
0.000 0.000 0.000 Se
0.000 0.500 0.000 Na
0.500 0.000 0.000 Na
0.000 0.000 0.500 Na
```

Properties
* offset from the most stable computed form: 0 meV/atom
* total moment: 0.10 μB per formula unit
* formation energy (no corrections): 34.1 kJ/mol of atoms

***

No. 15
## Na2TiSe2 (PBE)

Data for a relaxed Na2TiSe2 crystal.

POSCAR file:
```
Na2TiSe2
1.0
3.719 0.000 0.000
0.000 3.719 0.000
1.859 1.859 7.243
Ti Se Na
1 2 2
direct
0.000 0.000 0.000 Ti
0.603 0.603 0.795 Se
0.397 0.397 0.205 Se
0.250 0.750 0.500 Na
0.750 0.250 0.500 Na
```

Properties
* offset from the most stable computed form: 380 meV/atom
* total moment: 0.30 μB per formula unit
* formation energy (no corrections): -37.5 kJ/mol of atoms

***

No. 16
## NaTi5Se8 (PBE)

Data for a relaxed NaTi5Se8 crystal.

POSCAR file:
```
NaTi5Se8
1.0
-7.430 -0.953 6.058
-7.935 -3.782 3.943
3.076 -5.457 6.566
Ti Se Na
5 8 1
direct
0.290 0.290 0.348 Ti
0.000 0.000 0.000 Ti
0.648 0.648 0.013 Ti
0.352 0.352 0.987 Ti
0.710 0.710 0.652 Ti
0.081 0.081 0.197 Se
0.919 0.919 0.803 Se
0.760 0.760 0.155 Se
0.574 0.574 0.822 Se
0.840 0.840 0.500 Se
0.240 0.240 0.845 Se
0.160 0.160 0.500 Se
0.426 0.426 0.178 Se
0.500 0.500 0.500 Na
```

Properties
* total moment: 1.49 μB per formula unit
* formation energy (no corrections): -113.1 kJ/mol of atoms

***

No. 17
## Na3TiSe (PBE)

Data for a relaxed Na3TiSe crystal.

POSCAR file:
```
Na3TiSe
1.0
5.754 0.000 0.000
0.000 5.754 0.000
0.000 0.000 5.754
Se Ti Na
1 1 3
direct
0.500 0.500 0.500 Se
0.000 0.000 0.000 Ti
0.000 0.500 0.000 Na
0.000 0.000 0.500 Na
0.500 0.000 0.000 Na
```

Properties
* offset from the most stable computed form: 521 meV/atom
* total moment: 3.00 μB per formula unit
* formation energy (no corrections): 84.4 kJ/mol of atoms

***

No. 18
## Na2TiSe2 (PBE)

Data for a relaxed Na2TiSe2 crystal.

POSCAR file:
```
Na2TiSe2
1.0
-5.855 1.531 -3.728
1.707 -5.014 -4.740
-2.251 -2.960 2.321
Se Na Ti
4 4 2
direct
0.323 0.823 0.000 Se
0.677 0.177 0.000 Se
0.823 0.677 0.000 Se
0.177 0.323 0.000 Se
0.643 0.857 0.500 Na
0.857 0.357 0.500 Na
0.357 0.143 0.500 Na
0.143 0.643 0.500 Na
0.500 0.500 0.000 Ti
0.000 0.000 0.000 Ti
```

Properties
* offset from the most stable computed form: 0 meV/atom
* total moment: 1.15 μB per formula unit
* formation energy (no corrections): -74.2 kJ/mol of atoms